Computed, not measured: a relaxed structure of Pm2VSi4Ir3 at the GGA-PBE level of DFT.

Structure (POSCAR):
```
Pm2VSi4Ir3
1.0
4.180 0.000 0.000
0.000 4.180 0.000
0.000 0.000 10.049
Pm V Si Ir
2 1 4 3
Cartesian
0.000 2.090 2.465 Pm
2.090 0.000 7.584 Pm
0.000 0.000 5.024 V
0.000 0.000 0.000 Si
0.000 2.090 6.370 Si
2.090 0.000 3.679 Si
2.090 2.090 0.000 Si
0.000 2.090 8.818 Ir
2.090 0.000 1.231 Ir
2.090 2.090 5.024 Ir
```

Output
crystal system: tetragonal
SG: P-4m2, No. 115
raw formation energy: -0.878 eV/atom
V: 17.561 Å³/atom
calculated total energy: -75.67 eV/f.u.
DOS(E_F): 7.31 states/eV/f.u.